# 1
Density functional theory data (PBE) for a geometry-optimized Tb2TlOs structure.

Computed properties:
M_tot   0.000 μB/f.u.
Energy of formation   0.1122 eV/atom

Unit cell a=3.9281 b=3.9281 c=10.0236 alpha=78.70 beta=78.70 gamma=60.00
Last column: nearest neighbours and their distance in Å.
Atoms (fractional coordinates):
1 Tb 0.1141 0.1141 0.6577  3 Os 2.74
2 Tb 0.8859 0.8859 0.3423  3 Os 2.74
3 Os 0.5000 0.5000 0.5000  6 Tb 2.74
4 Tl 0.0000 0.0000 0.0000  2 Tb 3.34

# 2
Density functional theory data (PBE) for a geometry-optimized Tb5TlOs2 structure.

Computed properties:
M_tot   0.000 μB/f.u.
Energy of formation   -0.2998 eV/atom

Unit cell a=7.7809 b=7.7809 c=8.8046 alpha=116.22 beta=116.22 gamma=90.00
Last column: nearest neighbours and their distance in Å.
Atoms (fractional coordinates):
1 Tb 0.5287 0.7090 0.7377  3 Os 2.85-2.95
2 Tb 0.0000 0.0000 0.0000  4 Os 3.01
3 Tb 0.0287 0.5287 0.7377  3 Os 2.85-2.95
4 Tb 0.4713 0.2910 0.2623  3 Os 2.85-2.95
5 Tb 0.2090 0.0287 0.7377  3 Os 2.85-2.95
6 Tb 0.5000 0.5000 0.0000  4 Os 3.01
7 Tb 0.7910 0.9713 0.2623  3 Os 2.85-2.95
8 Tb 0.7090 0.2090 0.7377  3 Os 2.85-2.95
9 Tb 0.9713 0.4713 0.2623  3 Os 2.85-2.95
10 Tb 0.2910 0.7910 0.2623  3 Os 2.85-2.95
11 Tl 0.2500 0.2500 0.5000  10 Tb 3.35-3.44
12 Tl 0.7500 0.7500 0.5000  10 Tb 3.35-3.44
13 Os 0.6400 0.1400 0.0000  8 Tb 2.85-3.01, 1 Os 3.08
14 Os 0.1400 0.3600 0.0000  8 Tb 2.85-3.01, 1 Os 3.08
15 Os 0.8600 0.6400 0.0000  8 Tb 2.85-3.01, 1 Os 3.08
16 Os 0.3600 0.8600 0.0000  8 Tb 2.85-3.01, 1 Os 3.08

# 3
Density functional theory data (PBE) for a geometry-optimized Tb2TlOs structure.

Computed properties:
M_tot   0.000 μB/f.u.
Energy of formation   -0.2999 eV/atom

Unit cell a=3.4484 b=6.8264 c=8.2967 alpha=90.00 beta=90.00 gamma=90.00
Last column: nearest neighbours and their distance in Å.
Atoms (fractional coordinates):
1 Tl 0.0000 0.7500 0.5000  4 Tl 3.41-3.45, 8 Tb 3.47
2 Tl 0.0000 0.2500 0.5000  4 Tl 3.41-3.45, 8 Tb 3.47
3 Tb 0.5000 0.5000 0.7982  4 Os 2.95
4 Tb 0.5000 0.5000 0.2018  4 Os 2.95
5 Tb 0.5000 0.0000 0.7982  4 Os 2.95
6 Tb 0.5000 0.0000 0.2018  4 Os 2.95
7 Os 0.0000 0.2500 0.0000  8 Tb 2.95
8 Os 0.0000 0.7500 0.0000  8 Tb 2.95

> What is the formula in the second record?

Tb5TlOs2